1.
# FeTeP | Alexandria via LeMat-Bulk | GGA-PBE | relaxed
# V = 17.12 Å³ per atom
# ΔE to the lowest computed polymorph = 1.451 eV per formula unit
# E_form (uncorrected) = 0.13 eV/atom
data_FeTeP
_chemical_formula_sum 'Fe4 Te4 P4'
_space_group_name_H-M_alt 'F -4 3 m'
_space_group_IT_number 216
_space_group_name_Hall 'F -4 2 3'
_cell_length_a 5.901
_cell_length_b 5.901
_cell_length_c 5.901
_cell_angle_alpha 90.00
_cell_angle_beta 90.00
_cell_angle_gamma 90.00
loop_
_atom_site_label
_atom_site_type_symbol
_atom_site_fract_x
_atom_site_fract_y
_atom_site_fract_z
Fe1 Fe 0.000 0.000 0.000
Te1 Te 0.250 0.250 0.250
P1 P 0.250 0.250 0.750

---

2.
# Ac5Sm4Y2 | Alexandria via LeMat-Bulk | GGA-PBE | relaxed
# Energy of formation from the pure elements = 0.161 eV/atom
# V = 39.26 Å³ per atom
data_Ac5Sm4Y2
_chemical_formula_sum 'Ac5 Sm4 Y2'
_space_group_name_H-M_alt 'P 1 2/m 1'
_space_group_IT_number 10
_cell_length_a 9.312
_cell_length_b 3.697
_cell_length_c 12.557
_cell_angle_alpha 90.00
_cell_angle_beta 92.58
_cell_angle_gamma 90.00
loop_
_space_group_symop_operation_xyz
'x,y,z'
'-x,-y,-z'
'-x,y,-z'
'x,-y,z'
loop_
_atom_site_label
_atom_site_type_symbol
_atom_site_fract_x
_atom_site_fract_y
_atom_site_fract_z
Ac1 Ac 0.000 0.000 0.000
Ac2 Ac 0.199 0.000 0.522
Ac3 Ac 0.278 0.000 0.814
Sm1 Sm 0.081 0.500 0.265
Sm2 Sm 0.463 0.500 0.354
Y1 Y 0.352 0.000 0.119

---

Among the records above, which one has the lowest V?
FeTeP

---

Please write out number 2 again, unchanged.
# Ac5Sm4Y2 | Alexandria via LeMat-Bulk | GGA-PBE | relaxed
# Energy of formation from the pure elements = 0.161 eV/atom
# V = 39.26 Å³ per atom
data_Ac5Sm4Y2
_chemical_formula_sum 'Ac5 Sm4 Y2'
_space_group_name_H-M_alt 'P 1 2/m 1'
_space_group_IT_number 10
_cell_length_a 9.312
_cell_length_b 3.697
_cell_length_c 12.557
_cell_angle_alpha 90.00
_cell_angle_beta 92.58
_cell_angle_gamma 90.00
loop_
_space_group_symop_operation_xyz
'x,y,z'
'-x,-y,-z'
'-x,y,-z'
'x,-y,z'
loop_
_atom_site_label
_atom_site_type_symbol
_atom_site_fract_x
_atom_site_fract_y
_atom_site_fract_z
Ac1 Ac 0.000 0.000 0.000
Ac2 Ac 0.199 0.000 0.522
Ac3 Ac 0.278 0.000 0.814
Sm1 Sm 0.081 0.500 0.265
Sm2 Sm 0.463 0.500 0.354
Y1 Y 0.352 0.000 0.119

---

Among the records above, which one has the highest V?
Ac5Sm4Y2